Record 1
Ho3BiP2Rh9 | GGA-PBE | optimized geometry

Lattice parameters (Å, degrees): 6.0383 6.0383 9.4846 90.00 90.00 120.00
Last column: nearest neighbours and their distance in Å.
Positions (direct):
P 0.6667 0.3333 0.8431  6 Rh 2.17-2.29
Bi 0.0000 0.0000 0.5000  6 Rh 2.73
Rh 0.6981 0.8491 0.2655  1 P 2.17
P 0.3333 0.6667 0.1569  6 Rh 2.17-2.29
Ho 0.3333 0.6667 0.7404  9 Rh 3.02
Rh 0.1509 0.8491 0.2655  1 P 2.17
Ho 0.6667 0.3333 0.2596  9 Rh 3.02
Rh 0.0000 0.5000 0.0000  2 P 2.29
Rh 0.3019 0.1509 0.7345  1 P 2.17
Rh 0.1509 0.3019 0.2655  1 P 2.17
Rh 0.5000 0.0000 0.0000  2 P 2.29
Rh 0.8491 0.6981 0.7345  1 P 2.17
Ho 0.0000 0.0000 0.0000  12 Rh 2.97-3.02
Rh 0.5000 0.5000 0.0000  2 P 2.29
Rh 0.8491 0.1509 0.7345  1 P 2.17

Calculated values
Energy of formation from the pure elements (kJ/mol of formula units): -901
Symmetry: P-3m1 (164)
DOS at the Fermi energy (states/eV per atom): 0.594
Crystal system: trigonal
Total energy (eV per atom): -6.9289

---

Record 2
Ho2Sc2Bi2P | GGA-PBE | optimized geometry

Lattice parameters (Å, degrees): 4.8374 4.8374 8.7280 106.09 106.09 90.00
Last column: nearest neighbours and their distance in Å.
Positions (direct):
Sc 0.5000 0.0000 0.0000  2 P 2.42
Bi 0.6370 0.6370 0.2741  5 Ho 3.16-3.45, 4 Sc 3.27
Ho 0.1663 0.1663 0.3325  1 P 2.67
Sc 0.0000 0.5000 0.0000  2 P 2.42
Bi 0.3630 0.3630 0.7259  5 Ho 3.16-3.45, 4 Sc 3.27
P 0.0000 0.0000 0.0000  4 Sc 2.42, 2 Ho 2.67
Ho 0.8337 0.8337 0.6675  1 P 2.67

Calculated values
Energy of formation from the pure elements (kJ/mol of formula units): -555
Symmetry: I4/mmm (139)
DOS at the Fermi energy (states/eV per atom): 0.782
Crystal system: tetragonal
Total energy (eV per atom): -5.8209

---

Record 3
Ho6BiP2Se3 | GGA-PBE | optimized geometry

Lattice parameters (Å, degrees): 4.0829 8.2784 9.1938 102.71 102.83 90.00
Last column: nearest neighbours and their distance in Å.
Positions (direct):
Ho 0.6748 0.1120 0.3495  2 P 2.79, 3 Se 2.85-3.05, 1 Bi 3.06
Bi 0.5000 0.0000 0.0000  6 Ho 3.00-3.06
Se 0.8377 0.1659 0.6753  6 Ho 2.85-3.05
Ho 0.0107 0.2703 0.0215  1 P 2.76, 3 Se 2.83-3.03, 2 Bi 3.00
Se 0.5000 0.5000 0.0000  6 Ho 2.83-3.03
Ho 0.3264 0.4269 0.6528  3 P 2.76-2.81, 3 Se 3.01-3.03
Ho 0.3252 0.8880 0.6505  2 P 2.79, 3 Se 2.85-3.05, 1 Bi 3.06
Ho 0.6736 0.5731 0.3472  3 P 2.76-2.81, 3 Se 3.01-3.03
Ho 0.9893 0.7297 0.9785  1 P 2.76, 3 Se 2.83-3.03, 2 Bi 3.00
Se 0.1623 0.8341 0.3247  6 Ho 2.85-3.05
P 0.1687 0.3382 0.3374  6 Ho 2.76-2.81
P 0.8313 0.6618 0.6626  6 Ho 2.76-2.81

Calculated values
Formation energy from raw total energies (eV/atom): -1.573
Symmetry: C2/m (12)
DOS at the Fermi energy (states/eV per atom): 0.362
Crystal system: monoclinic
Total energy (eV per atom): -5.9578

---

Record 4
Ho4BiPSe2 | GGA-PBE | optimized geometry

Lattice parameters (Å, degrees): 4.1316 7.1262 7.2912 70.58 90.00 90.00
Last column: nearest neighbours and their distance in Å.
Positions (direct):
Se 0.0000 0.0000 0.0000  6 Ho 3.04-3.08
Ho 0.5000 0.2610 0.7265  2 P 2.83, 3 Se 2.87-3.04, 1 Bi 3.02
P 0.0000 0.5000 0.5000  6 Ho 2.81-2.83
Ho 0.5000 0.7390 0.2735  2 P 2.83, 3 Se 2.87-3.04, 1 Bi 3.02
Bi 0.5000 0.5000 0.0000  6 Ho 3.02-3.03
Ho 0.0000 0.7529 0.7240  1 P 2.81, 3 Se 2.85-3.08, 2 Bi 3.03
Ho 0.0000 0.2471 0.2760  1 P 2.81, 3 Se 2.85-3.08, 2 Bi 3.03
Se 0.5000 0.0000 0.5000  6 Ho 2.85-2.87

Calculated values
Formation energy from raw total energies (eV/atom): -1.470
Symmetry: P2/m (10)
DOS at the Fermi energy (states/eV per atom): 0.422
Crystal system: monoclinic
Total energy (eV per atom): -5.7915

---

Q: total energy of number 4 (Ho4BiPSe2)?
A: -5.7915 eV per atom